--- A ---
# GdDy2Sc

A relaxed structure of GdDy2Sc (PBE, Alexandria via LeMat-Bulk).

```
GdDy2Sc
1.0
-4.7695 -1.8935 -2.0940
-0.3718 -5.2483 -1.7423
-3.0221 -3.6617 2.8596
Sc Gd Dy
1 1 2
direct
0.5000 0.5000 0.5000
0.0000 0.0000 0.0000
0.2500 0.2500 0.2500
0.7500 0.7500 0.7500
```

Properties
For the total magnetization, the calculation gives 8.4 μB/f.u. As for the crystal system: cubic. The space group is No. 225.

=====

--- B ---
# GdDy2Sc

A relaxed structure of GdDy2Sc (PBE, Alexandria via LeMat-Bulk).

```
GdDy2Sc
1.0
-3.0033 -3.6410 -1.4324
2.4240 -0.3248 -4.2566
3.0478 -3.2958 1.9872
Sc Gd Dy
1 1 2
direct
0.5000 0.0000 0.0000
0.5000 0.5000 0.5000
0.0000 0.0000 0.5000
0.0000 0.5000 0.0000
```

Properties
For the total magnetization, the calculation gives 7.1 μB/f.u. As for the crystal system: tetragonal. The space group is No. 123.

=====

Most stable to least stable, the ends of the list are B and A.

=====

--- A ---
# GdDySe

A relaxed structure of GdDySe (PBE, Alexandria via LeMat-Bulk).

```
GdDySe
1.0
3.6085 0.0000 0.0000
0.0000 3.6085 0.0000
-1.8043 -1.8043 6.1862
Gd Se Dy
1 1 1
direct
0.9774 0.9774 0.9548
0.3312 0.3312 0.6623
0.6915 0.6915 0.3829
```

Properties
For the total magnetization, the calculation gives 7.5 μB/f.u. As for the crystal system: tetragonal. The space group is No. 107.

=====

--- B ---
# GdDySe

A relaxed structure of GdDySe (PBE, Alexandria via LeMat-Bulk).

```
GdDySe
1.0
-2.3671 2.5446 -1.7089
-1.4675 -2.8758 2.1389
0.2672 3.8295 5.3320
Gd Se Dy
1 1 1
direct
0.0000 0.0000 0.0506
0.6667 0.3333 0.3354
0.3333 0.6667 0.6140
```

Properties
For the total magnetization, the calculation gives 8.2 μB/f.u. As for the crystal system: trigonal. The space group is No. 156.

=====

Most stable to least stable, the ends of the list are B and A.

=====

--- A ---
# Gd2DySn

A relaxed structure of Gd2DySn (PBE, Alexandria via LeMat-Bulk).

```
Gd2DySn
1.0
-2.3372 -1.6411 2.0571
0.6905 -3.2284 1.2199
4.6470 3.1610 10.8124
Gd Sn Dy
2 1 1
direct
0.0872 0.0872 0.7383
0.9128 0.9128 0.2617
0.0000 0.0000 0.0000
0.5000 0.5000 0.5000
```

Properties
For the total magnetization, the calculation gives 14.5 μB/f.u. As for the crystal system: trigonal. The space group is No. 166.

=====

--- B ---
# Gd2DySn

A relaxed structure of Gd2DySn (PBE, Alexandria via LeMat-Bulk).

```
Gd2DySn
1.0
-4.2671 -3.0670 -1.4062
-1.3714 -4.3051 3.0294
-4.5390 0.1173 2.9959
Gd Sn Dy
2 1 1
direct
0.2500 0.2500 0.2500
0.7500 0.7500 0.7500
0.5000 0.5000 0.5000
0.0000 0.0000 0.0000
```

Properties
For the total magnetization, the calculation gives 15.2 μB/f.u. As for the crystal system: cubic. The space group is No. 225.

=====

Most stable to least stable, the ends of the list are B and A.

=====

--- A ---
# Gd2DySn

A relaxed structure of Gd2DySn (PBE, Alexandria via LeMat-Bulk).

```
Gd2DySn
1.0
-4.1942 -1.8000 -1.7348
2.4671 -2.9039 -2.9518
0.0564 -3.4121 3.4039
Gd Sn Dy
2 1 1
direct
0.0000 0.0000 0.5000
0.0000 0.5000 0.0000
0.5000 0.0000 0.0000
0.5000 0.5000 0.5000
```

Properties
For the total magnetization, the calculation gives 15.2 μB/f.u. As for the crystal system: tetragonal. The space group is No. 123.

=====

--- B ---
# Gd2DySn

A relaxed structure of Gd2DySn (PBE, Alexandria via LeMat-Bulk).

```
Gd2DySn
1.0
4.1956 0.0000 0.0000
0.0000 4.1956 0.0000
0.0000 0.0000 6.6981
Gd Sn Dy
2 1 1
direct
0.0000 0.0000 0.7314
0.0000 0.0000 0.2686
0.5000 0.5000 0.5000
0.5000 0.5000 0.0000
```

Properties
For the total magnetization, the calculation gives 15.0 μB/f.u. As for the crystal system: tetragonal. The space group is No. 123.

=====

Most stable to least stable, the ends of the list are A and B.

=====

--- A ---
# GdDySn2

A relaxed structure of GdDySn2 (PBE, Alexandria via LeMat-Bulk).

```
GdDySn2
1.0
3.9027 0.0000 0.0000
1.9513 3.3798 0.0000
1.9513 1.1266 8.8867
Gd Sn Dy
1 2 1
direct
0.0000 0.0000 0.0000
0.7508 0.7508 0.7476
0.2492 0.2492 0.2524
0.5000 0.5000 0.5000
```

Properties
For the total magnetization, the calculation gives 7.1 μB/f.u. As for the crystal system: trigonal. The space group is No. 166.

=====

--- B ---
# GdDySn2

A relaxed structure of GdDySn2 (PBE, Alexandria via LeMat-Bulk).

```
GdDySn2
1.0
-1.8862 -2.6025 3.0816
-2.8012 -2.0552 -3.4503
3.4389 -3.4002 -0.7666
Gd Sn Dy
1 2 1
direct
0.5000 0.0000 0.0000
0.0000 0.0000 0.5000
0.0000 0.5000 0.0000
0.5000 0.5000 0.5000
```

Properties
For the total magnetization, the calculation gives 7.8 μB/f.u. As for the crystal system: tetragonal. The space group is No. 123.

=====

--- C ---
# GdDySn2

A relaxed structure of GdDySn2 (PBE, Alexandria via LeMat-Bulk).

```
GdDySn2
1.0
5.3752 0.0000 0.0000
2.6876 4.6550 0.0000
2.6876 1.5517 4.3888
Gd Sn Dy
1 2 1
direct
0.0000 0.0000 0.0000
0.2500 0.2500 0.2500
0.7500 0.7500 0.7500
0.5000 0.5000 0.5000
```

Properties
For the total magnetization, the calculation gives 7.4 μB/f.u. As for the crystal system: cubic. The space group is No. 225.

=====

--- D ---
# GdDySn2

A relaxed structure of GdDySn2 (PBE, Alexandria via LeMat-Bulk).

```
GdDySn2
1.0
3.4662 0.0000 0.0000
0.0000 3.4662 0.0000
0.0000 0.0000 8.8934
Gd Sn Dy
1 2 1
direct
0.5000 0.5000 0.0000
0.0000 0.0000 0.7467
0.0000 0.0000 0.2533
0.5000 0.5000 0.5000
```

Properties
For the total magnetization, the calculation gives 7.4 μB/f.u. As for the crystal system: tetragonal. The space group is No. 123.

=====

Most stable to least stable, the ends of the list are D and A.

=====

--- A ---
# SrGdDy2

A relaxed structure of SrGdDy2 (PBE, Alexandria via LeMat-Bulk).

```
SrGdDy2
1.0
-0.6329 1.2102 -3.4252
3.3842 -1.0673 -1.0024
-3.7757 -9.4812 -2.6524
Sr Gd Dy
1 1 2
direct
0.5000 0.5000 0.5000
0.5000 0.5000 0.0000
0.0000 0.0000 0.7783
0.0000 0.0000 0.2217
```

Properties
For the total magnetization, the calculation gives 6.8 μB/f.u. As for the crystal system: tetragonal. The space group is No. 123.

=====

--- B ---
# SrGdDy2

A relaxed structure of SrGdDy2 (PBE, Alexandria via LeMat-Bulk).

```
SrGdDy2
1.0
-2.9175 2.0041 -0.6912
-2.6561 0.2162 2.4299
3.8367 10.8662 5.9032
Sr Gd Dy
1 1 2
direct
0.0000 0.0000 0.0000
0.5000 0.5000 0.5000
0.0927 0.0927 0.7219
0.9073 0.9073 0.2781
```

Properties
For the total magnetization, the calculation gives 7.0 μB/f.u. As for the crystal system: trigonal. The space group is No. 166.

=====

Most stable to least stable, the ends of the list are A and B.

=====

--- A ---
# SrGdDy

A relaxed structure of SrGdDy (PBE, Alexandria via LeMat-Bulk).

```
SrGdDy
1.0
3.7367 0.0000 0.0000
-1.8683 3.2360 0.0000
0.0000 0.0000 9.2954
Sr Gd Dy
1 1 1
direct
0.0000 0.0000 0.9971
0.6667 0.3333 0.3555
0.3333 0.6667 0.6474
```

Properties
For the total magnetization, the calculation gives 7.5 μB/f.u. As for the crystal system: trigonal. The space group is No. 156.

=====

--- B ---
# SrGdDy

A relaxed structure of SrGdDy (PBE, Alexandria via LeMat-Bulk).

```
SrGdDy
1.0
3.7543 0.0000 0.0000
0.0000 3.7543 0.0000
-1.8772 -1.8772 8.0057
Sr Gd Dy
1 1 1
direct
0.9983 0.9983 0.9966
0.6821 0.6821 0.3641
0.3196 0.3196 0.6393
```

Properties
For the total magnetization, the calculation gives 7.6 μB/f.u. As for the crystal system: tetragonal. The space group is No. 107.

=====

Most stable to least stable, the ends of the list are B and A.

=====

--- A ---
# GdDy2Th

A relaxed structure of GdDy2Th (PBE, Alexandria via LeMat-Bulk).

```
GdDy2Th
1.0
3.4507 0.0000 0.0000
1.7254 2.9884 0.0000
1.7254 0.9961 12.4695
Gd Th Dy
1 1 2
direct
0.5000 0.5000 0.5000
0.0000 0.0000 0.0000
0.0898 0.0898 0.7307
0.9102 0.9102 0.2693
```

Properties
For the total magnetization, the calculation gives 7.2 μB/f.u. As for the crystal system: trigonal. The space group is No. 166.

=====

--- B ---
# GdDy2Th

A relaxed structure of GdDy2Th (PBE, Alexandria via LeMat-Bulk).

```
GdDy2Th
1.0
5.6698 0.0000 0.0000
2.8349 4.9102 0.0000
2.8349 1.6367 4.6293
Gd Th Dy
1 1 2
direct
0.5000 0.5000 0.5000
0.0000 0.0000 0.0000
0.2500 0.2500 0.2500
0.7500 0.7500 0.7500
```

Properties
For the total magnetization, the calculation gives 7.6 μB/f.u. As for the crystal system: cubic. The space group is No. 225.

=====

Most stable to least stable, the ends of the list are B and A.

=====

--- A ---
# GdDy2Th

A relaxed structure of GdDy2Th (PBE, Alexandria via LeMat-Bulk).

```
GdDy2Th
1.0
-3.1019 2.6407 0.8341
-0.8636 0.2675 -4.0587
-4.7090 -5.7287 0.6243
Gd Th Dy
1 1 2
direct
0.5000 0.5000 0.0000
0.5000 0.5000 0.5000
0.0000 0.0000 0.7445
0.0000 0.0000 0.2555
```

Properties
For the total magnetization, the calculation gives 7.7 μB/f.u. As for the crystal system: tetragonal. The space group is No. 123.

=====

--- B ---
# GdDy2Th

A relaxed structure of GdDy2Th (PBE, Alexandria via LeMat-Bulk).

```
GdDy2Th
1.0
-0.3947 4.8873 -0.9459
-4.2073 0.1996 2.7867
2.7652 1.0172 4.1019
Gd Th Dy
1 1 2
direct
0.5000 0.0000 0.0000
0.5000 0.5000 0.5000
0.0000 0.0000 0.5000
0.0000 0.5000 0.0000
```

Properties
For the total magnetization, the calculation gives 7.5 μB/f.u. As for the crystal system: tetragonal. The space group is No. 123.

=====

Most stable to least stable, the ends of the list are B and A.

=====

--- A ---
# GdDy2Y

A relaxed structure of GdDy2Y (PBE, Alexandria via LeMat-Bulk).

```
GdDy2Y
1.0
-3.3234 -1.0296 -0.7510
0.5092 -2.9958 1.8534
-3.3034 4.5896 8.3262
Y Gd Dy
1 1 2
direct
0.5000 0.5000 0.5000
0.5000 0.5000 0.0000
0.0000 0.0000 0.7495
0.0000 0.0000 0.2505
```

Properties
For the total magnetization, the calculation gives 7.2 μB/f.u. As for the crystal system: tetragonal. The space group is No. 123.

=====

--- B ---
# GdDy2Y

A relaxed structure of GdDy2Y (PBE, Alexandria via LeMat-Bulk).

```
GdDy2Y
1.0
5.6792 0.0000 0.0000
2.8396 4.9183 0.0000
2.8396 1.6394 4.6370
Y Gd Dy
1 1 2
direct
0.5000 0.5000 0.5000
0.0000 0.0000 0.0000
0.2500 0.2500 0.2500
0.7500 0.7500 0.7500
```

Properties
For the total magnetization, the calculation gives 9.0 μB/f.u. As for the crystal system: cubic. The space group is No. 225.

=====

Most stable to least stable, the ends of the list are A and B.

=====

--- A ---
# GdDy2Zn

A relaxed structure of GdDy2Zn (PBE, Alexandria via LeMat-Bulk).

```
GdDy2Zn
1.0
3.5637 0.0000 0.0000
0.0000 3.5637 0.0000
0.0000 0.0000 8.6469
Zn Gd Dy
1 1 2
direct
0.5000 0.5000 0.0000
0.5000 0.5000 0.5000
0.0000 0.0000 0.7949
0.0000 0.0000 0.2051
```

Properties
For the total magnetization, the calculation gives 7.4 μB/f.u. As for the crystal system: tetragonal. The space group is No. 123.

=====

--- B ---
# GdDy2Zn

A relaxed structure of GdDy2Zn (PBE, Alexandria via LeMat-Bulk).

```
GdDy2Zn
1.0
5.3240 0.0000 0.0000
2.6620 4.6107 0.0000
2.6620 1.5369 4.3471
Zn Gd Dy
1 1 2
direct
0.5000 0.5000 0.5000
0.0000 0.0000 0.0000
0.2500 0.2500 0.2500
0.7500 0.7500 0.7500
```

Properties
For the total magnetization, the calculation gives 7.5 μB/f.u. As for the crystal system: cubic. The space group is No. 225.

=====

--- C ---
# GdDy2Zn

A relaxed structure of GdDy2Zn (PBE, Alexandria via LeMat-Bulk).

```
GdDy2Zn
1.0
3.7976 0.0000 0.0000
0.0000 5.3174 0.0000
0.0000 0.0000 5.3174
Zn Gd Dy
1 1 2
direct
0.5000 0.0000 0.0000
0.5000 0.5000 0.5000
0.0000 0.0000 0.5000
0.0000 0.5000 0.0000
```

Properties
For the total magnetization, the calculation gives 7.2 μB/f.u. As for the crystal system: tetragonal. The space group is No. 123.

=====

Most stable to least stable, the ends of the list are A and B.

=====

--- A ---
# Gd2DyZn

A relaxed structure of Gd2DyZn (PBE, Alexandria via LeMat-Bulk).

```
Gd2DyZn
1.0
4.7821 0.0000 0.0000
0.0000 4.7566 0.0000
0.0000 0.0000 4.7566
Zn Gd Dy
1 2 1
direct
0.5000 0.0000 0.0000
0.0000 0.0000 0.5000
0.0000 0.5000 0.0000
0.5000 0.5000 0.5000
```

Properties
For the total magnetization, the calculation gives 15.4 μB/f.u. As for the crystal system: tetragonal. The space group is No. 123.

=====

--- B ---
# Gd2DyZn

A relaxed structure of Gd2DyZn (PBE, Alexandria via LeMat-Bulk).

```
Gd2DyZn
1.0
-2.6389 1.4758 -1.7114
-3.1932 -1.3488 0.2341
-4.1616 6.9137 8.8522
Zn Gd Dy
1 2 1
direct
0.0000 0.0000 0.0000
0.0864 0.0864 0.7408
0.9136 0.9136 0.2592
0.5000 0.5000 0.5000
```

Properties
For the total magnetization, the calculation gives 14.9 μB/f.u. As for the crystal system: trigonal. The space group is No. 166.

=====

--- C ---
# Gd2DyZn

A relaxed structure of Gd2DyZn (PBE, Alexandria via LeMat-Bulk).

```
Gd2DyZn
1.0
-0.4148 1.2098 3.3475
2.5790 -2.2206 1.1221
5.9338 6.1414 -1.4841
Zn Gd Dy
1 2 1
direct
0.5000 0.5000 0.0000
0.0000 0.0000 0.7913
0.0000 0.0000 0.2087
0.5000 0.5000 0.5000
```

Properties
For the total magnetization, the calculation gives 14.4 μB/f.u. As for the crystal system: tetragonal. The space group is No. 123.

=====

--- D ---
# Gd2DyZn

A relaxed structure of Gd2DyZn (PBE, Alexandria via LeMat-Bulk).

```
Gd2DyZn
1.0
5.3586 0.0000 0.0000
2.6793 4.6407 0.0000
2.6793 1.5469 4.3753
Zn Gd Dy
1 2 1
direct
0.5000 0.5000 0.5000
0.2500 0.2500 0.2500
0.7500 0.7500 0.7500
0.0000 0.0000 0.0000
```

Properties
For the total magnetization, the calculation gives 14.9 μB/f.u. As for the crystal system: cubic. The space group is No. 225.

=====

Most stable to least stable, the ends of the list are C and B.